The following is a PBE calculation of crystalline Nd2Tm2BI5 at its relaxed geometry, from OQMD.

abc: 9.8549 9.8549 8.9461
angles: 102.08 102.08 24.01
Closest atoms and distances in Å follow each position.
Fractional positions:
Tm 0.6318 0.6318 0.0651  1 B 2.48
Tm 0.3682 0.3682 0.9349  1 B 2.48
I 0.1687 0.1687 0.3232  2 Tm 3.06, 1 Nd 3.22
I 0.8263 0.8263 0.1579  2 Tm 3.09, 1 Nd 3.27
I 0.8313 0.8313 0.6768  2 Tm 3.06, 1 Nd 3.22
I 0.5000 0.5000 0.5000  4 Nd 3.36
I 0.1737 0.1737 0.8421  2 Tm 3.09, 1 Nd 3.27
Nd 0.9989 0.9989 0.2014  2 B 2.73
Nd 0.0011 0.0011 0.7986  2 B 2.73
B 0.5000 0.5000 0.0000  2 Tm 2.48, 4 Nd 2.73

## Properties
DFT total energy in eV/atom: -4.358
V in Å³ per cell: 345.3
Crystal system: monoclinic